Entry from the Alexandria database: a relaxed CdHF2 crystal (PBE-GGA).

Calculated values
Energy relative to the lowest polymorph listed for this composition   0.0 meV per atom

Unit cell a=3.8738 b=4.8355 c=6.2125 alpha=96.86 beta=102.11 gamma=106.98
Closest atoms and distances in Å follow each position.
Positions (direct):
Cd 0.0000 0.0000 0.0000  3 F 2.42-2.49, 1 Cd 2.69
Cd 0.3471 0.9225 0.3999  2 F 2.36-2.42
H 0.1965 0.4696 0.7045  1 F 1.09
H 0.6839 0.4655 0.2047  2 F 1.14-1.16
F 0.0423 0.2351 0.6735  1 H 1.09
F 0.3724 0.7428 0.7378  1 H 1.27
F 0.6721 0.5654 0.3810  1 H 1.16
F 0.6999 0.3710 0.0305  1 H 1.14